Entry 1:
## SrZn2Ag2 (PBE)

Data for a relaxed structure of SrZn2Ag2.

Values from the calculation:
Formation energy from the elements = -1.05 eV per formula unit
Total energy = -2.20 eV per atom
Density of states at the Fermi level = 2.3 states/eV per cell
Offset from the most stable computed form = 5 meV/atom
Total magnetization = 0.00 μB/f.u.

Cell lengths 4.6492, 4.6492, 6.1296 Å; angles 67.71, 67.71, 90.00 degrees
Atoms (fractional coordinates):
Sr (0.0000, 0.0000, 0.0000)
Zn (0.3777, 0.3777, 0.2446)
Zn (0.6223, 0.6223, 0.7554)
Ag (0.7500, 0.2500, 0.5000)
Ag (0.2500, 0.7500, 0.5000)

Entry 2:
## SrZnAg2 (PBE)

Data for a relaxed structure of SrZnAg2.

Values from the calculation:
Formation energy from the elements = -0.99 eV per formula unit
Total energy = -2.41 eV per atom
Density of states at the Fermi level = 5.1 states/eV per cell
Total magnetization = 0.00 μB/f.u.

Cell lengths 5.9851, 7.4947, 8.2311 Å; angles 90.00, 90.00, 90.00 degrees
Atoms (fractional coordinates):
Sr (0.3709, 0.2500, 0.0352)
Sr (0.8709, 0.7500, 0.4648)
Sr (0.6291, 0.7500, 0.9648)
Sr (0.1291, 0.2500, 0.5352)
Zn (0.6345, 0.2500, 0.3784)
Zn (0.1345, 0.7500, 0.1216)
Zn (0.3655, 0.7500, 0.6216)
Zn (0.8655, 0.2500, 0.8784)
Ag (0.9043, 0.0592, 0.1730)
Ag (0.4043, 0.9408, 0.3270)
Ag (0.0957, 0.5592, 0.8270)
Ag (0.5957, 0.4408, 0.6730)
Ag (0.0957, 0.9408, 0.8270)
Ag (0.5957, 0.0592, 0.6730)
Ag (0.9043, 0.4408, 0.1730)
Ag (0.4043, 0.5592, 0.3270)

Entry 3:
## SrZn4Ag2 (PBE)

Data for a relaxed structure of SrZn4Ag2.

Values from the calculation:
Formation energy from the elements = 0.60 eV per formula unit
Total energy = -1.70 eV per atom
Density of states at the Fermi level = 4.0 states/eV per cell
Offset from the most stable computed form = 247 meV/atom
Total magnetization = 0.00 μB/f.u.

Cell lengths 6.1966, 6.1966, 6.1966 Å; angles 103.54, 103.54, 122.12 degrees
Atoms (fractional coordinates):
Sr (0.0000, 0.0000, 0.0000)
Zn (0.7300, 0.5000, 0.2300)
Zn (0.5000, 0.7300, 0.2300)
Zn (0.5000, 0.2700, 0.7700)
Zn (0.2700, 0.5000, 0.7700)
Ag (0.2500, 0.7500, 0.5000)
Ag (0.7500, 0.2500, 0.5000)

Entry 4:
## Sr3ZnAg (PBE)

Data for a relaxed structure of Sr3ZnAg.

Values from the calculation:
Formation energy from the elements = -1.01 eV per formula unit
Total energy = -2.04 eV per atom
Density of states at the Fermi level = 7.2 states/eV per cell
Offset from the most stable computed form = 0 meV/atom
Total magnetization = 0.00 μB/f.u.

Cell lengths 4.5635, 8.9284, 9.3726 Å; angles 110.23, 90.00, 90.00 degrees
Atoms (fractional coordinates):
Sr (0.7500, 0.6406, 0.4079)
Sr (0.2500, 0.3594, 0.5921)
Sr (0.7500, 0.3117, 0.9296)
Sr (0.2500, 0.9117, 0.7717)
Sr (0.2500, 0.6883, 0.0704)
Sr (0.7500, 0.0883, 0.2283)
Zn (0.2500, 0.9528, 0.4320)
Zn (0.7500, 0.0472, 0.5680)
Ag (0.2500, 0.3658, 0.2048)
Ag (0.7500, 0.6342, 0.7952)

Entry 5:
## Sr6ZnAg3 (PBE)

Data for a relaxed structure of Sr6ZnAg3.

Values from the calculation:
Formation energy from the elements = -1.89 eV per formula unit
Total energy = -2.18 eV per atom
Density of states at the Fermi level = 13.5 states/eV per cell
Total magnetization = 0.00 μB/f.u.

Cell lengths 4.5422, 12.1169, 14.6840 Å; angles 111.78, 90.00, 90.00 degrees
Atoms (fractional coordinates):
Sr (0.7500, 0.4825, 0.6133)
Sr (0.2500, 0.5175, 0.3867)
Sr (0.7500, 0.8429, 0.0979)
Sr (0.2500, 0.1571, 0.9021)
Sr (0.7500, 0.4312, 0.0972)
Sr (0.2500, 0.5688, 0.9028)
Sr (0.7500, 0.7530, 0.3265)
Sr (0.2500, 0.2470, 0.6735)
Sr (0.7500, 0.1011, 0.4231)
Sr (0.2500, 0.8989, 0.5769)
Sr (0.7500, 0.8398, 0.7972)
Sr (0.2500, 0.1602, 0.2028)
Zn (0.7500, 0.0833, 0.7225)
Zn (0.2500, 0.9167, 0.2775)
Ag (0.7500, 0.3403, 0.8460)
Ag (0.2500, 0.6597, 0.1540)
Ag (0.7500, 0.6950, 0.5329)
Ag (0.2500, 0.3050, 0.4671)
Ag (0.7500, 0.0809, 0.0283)
Ag (0.2500, 0.9191, 0.9717)

Entry 6:
## Sr3Zn5Ag6 (PBE)

Data for a relaxed structure of Sr3Zn5Ag6.

Values from the calculation:
Formation energy from the elements = -3.08 eV per formula unit
Total energy = -2.26 eV per atom
Density of states at the Fermi level = 12.0 states/eV per cell
Total magnetization = 0.00 μB/f.u.

Cell lengths 4.6326, 9.5574, 13.9083 Å; angles 90.00, 90.00, 90.00 degrees
Atoms (fractional coordinates):
Sr (0.0000, 0.2476, 0.6979)
Sr (0.5000, 0.7524, 0.1979)
Sr (0.5000, 0.7524, 0.8021)
Sr (0.0000, 0.2514, 0.0000)
Sr (0.5000, 0.7486, 0.5000)
Sr (0.0000, 0.2476, 0.3021)
Zn (0.0000, 0.5401, 0.8739)
Zn (0.0000, 0.8936, 0.6690)
Zn (0.0000, 0.7516, 0.0000)
Zn (0.5000, 0.4599, 0.6261)
Zn (0.5000, 0.2484, 0.5000)
Zn (0.0000, 0.5401, 0.1261)
Zn (0.5000, 0.4599, 0.3739)
Zn (0.0000, 0.8936, 0.3310)
Zn (0.5000, 0.1064, 0.8310)
Zn (0.5000, 0.1064, 0.1690)
Ag (0.0000, 0.9687, 0.8697)
Ag (0.5000, 0.0313, 0.6303)
Ag (0.5000, 0.3948, 0.8274)
Ag (0.5000, 0.5580, 0.0000)
Ag (0.0000, 0.4420, 0.5000)
Ag (0.0000, 0.6052, 0.6726)
Ag (0.0000, 0.6052, 0.3274)
Ag (0.5000, 0.9515, 0.0000)
Ag (0.0000, 0.9687, 0.1303)
Ag (0.5000, 0.3948, 0.1726)
Ag (0.0000, 0.0485, 0.5000)
Ag (0.5000, 0.0313, 0.3697)

Entry 7:
## SrZn10Ag2 (PBE)

Data for a relaxed structure of SrZn10Ag2.

Values from the calculation:
Formation energy from the elements = -1.26 eV per formula unit
Total energy = -1.64 eV per atom
Density of states at the Fermi level = 4.6 states/eV per cell
Total magnetization = 0.00 μB/f.u.

Cell lengths 5.4947, 6.8978, 7.0984 Å; angles 81.13, 67.23, 66.53 degrees
Atoms (fractional coordinates):
Sr (0.0000, 0.0000, 0.0000)
Zn (0.3575, 0.6446, 0.6405)
Zn (0.6425, 0.3554, 0.3595)
Zn (0.0021, 0.3554, 0.6405)
Zn (0.9979, 0.6446, 0.3595)
Zn (0.0000, 0.0000, 0.5000)
Zn (0.5000, 0.0000, 0.5000)
Zn (0.2727, 0.2208, 0.2337)
Zn (0.7273, 0.7792, 0.7663)
Zn (0.4935, 0.7792, 0.2337)
Zn (0.5065, 0.2208, 0.7663)
Ag (0.0000, 0.5000, 0.0000)
Ag (0.5000, 0.5000, 0.0000)

Entry 8:
## Sr3Zn4Ag2 (PBE)

Data for a relaxed structure of Sr3Zn4Ag2.

Values from the calculation:
Formation energy from the elements = -2.04 eV per formula unit
Total energy = -1.99 eV per atom
Density of states at the Fermi level = 5.9 states/eV per cell
Offset from the most stable computed form = 39 meV/atom
Total magnetization = 0.00 μB/f.u.

Cell lengths 4.6389, 6.1040, 9.5660 Å; angles 67.89, 76.32, 67.73 degrees
Atoms (fractional coordinates):
Sr (0.6157, 0.1415, 0.6272)
Sr (0.0000, 0.0000, 0.0000)
Sr (0.3843, 0.8585, 0.3728)
Zn (0.2669, 0.3873, 0.0757)
Zn (0.9079, 0.5506, 0.6343)
Zn (0.0921, 0.4494, 0.3657)
Zn (0.7331, 0.6127, 0.9243)
Ag (0.6993, 0.3637, 0.2357)
Ag (0.3007, 0.6363, 0.7643)